Material: SiAuSe2N
Method: DFT, PBE-GGA
State: relaxed

The energy above the most stable polymorph in this dataset comes out at 0 meV/atom. For the size of the total moment, the calculation gives 0.0 μB/f.u. The value obtained for the energy relative to the elements, uncorrected is 0.35 eV/atom. The calculated total energy is -4.449 eV/atom.

It has space group P4/mmm (No. 123), with a = 5.231 Å, b = 5.231 Å, c = 3.222 Å, α = 90.00°, β = 90.00° and γ = 90.00°. The asymmetric unit holds Si at (0.000, 0.000, 0.000), Au at (0.500, 0.500, 0.500), Se at (0.000, 0.500, 0.000) and N at (0.000, 0.000, 0.500).